NaAlNiF6, optimized geometry, DFT GGA+U; uncorrected energy = -5.017 eV per atom; symmetry = P4_2nm (102)
1.0
-2.425 1.592 -3.765
-2.913 -3.744 0.293
-5.566 4.770 5.603
F Na Al Ni
12 2 2 2
Direct
0.726 0.726 0.347 F
0.274 0.274 0.347 F
0.802 0.198 0.473 F
0.175 0.825 0.181 F
0.675 0.675 0.681 F
0.198 0.802 0.473 F
0.325 0.325 0.681 F
0.825 0.175 0.181 F
0.302 0.302 0.973 F
0.226 0.774 0.847 F
0.774 0.226 0.847 F
0.698 0.698 0.973 F
0.500 0.500 0.169 Na
0.000 0.000 0.669 Na
0.000 0.000 0.334 Al
0.500 0.500 0.834 Al
0.000 0.000 0.997 Ni
0.500 0.500 0.497 Ni